(1)
The following is a DFT calculation (PBE) of a relaxed structure of NbTl2Cr.

The space group is Fm-3m (No. 225) and the conventional cell measures 6.716, 6.716 and 6.716 Å, with angles of 90.00, 90.00 and 90.00 degrees. The inequivalent atoms are Nb at (0.000, 0.000, 0.000), Tl at (0.250, 0.250, 0.250) and Cr at (0.000, 0.000, 0.500).

The value obtained for the formation energy is 20.16 kcal/mol of atoms. Its crystal system is cubic. As for the density of states at the Fermi level: 20.73 states/eV/cell. As for the relative energy among the computed polymorphs: 31 meV per atom. Its density is 12.14 g/cm3. The total magnetization comes out at 0.00 μB/atom.

(2)
The following is a DFT calculation (PBE) of a relaxed structure of Nb2Tl4Cr.

The space group is I4/mmm (No. 139) and the conventional cell measures 5.429, 5.429 and 13.806 Å, with angles of 90.00, 90.00 and 90.00 degrees. The inequivalent atoms are Nb at (0.000, 0.000, 0.084), Tl at (0.000, 0.000, 0.299), Tl at (0.000, 0.500, 0.000) and Cr at (0.000, 0.000, 0.500).

The value obtained for the formation energy is 20.17 kcal/mol of atoms. Its crystal system is tetragonal. As for the density of states at the Fermi level: 10.83 states/eV/cell. Its density is 8.61 g/cm3. The total magnetization comes out at 0.51 μB/atom.

(3)
The following is a DFT calculation (PBE) of a relaxed structure of NbTlCr2.

The space group is I-42d (No. 122) and the conventional cell measures 7.296, 7.296 and 5.805 Å, with angles of 90.00, 90.00 and 90.00 degrees. The inequivalent atoms are Nb at (0.000, 0.000, 0.000), Tl at (0.000, 0.000, 0.500) and Cr at (0.224, 0.250, 0.125).

The value obtained for the formation energy is 22.37 kcal/mol of atoms. Its crystal system is tetragonal. As for the density of states at the Fermi level: 15.50 states/eV/cell. As for the relative energy among the computed polymorphs: 529 meV per atom. Its density is 8.63 g/cm3. The total magnetization comes out at 1.39 μB/atom.

(4)
The following is a DFT calculation (PBE) of a relaxed structure of Nb2TlCr2.

The space group is P4/mbm (No. 127) and the conventional cell measures 7.640, 7.640 and 3.128 Å, with angles of 90.00, 90.00 and 90.00 degrees. The inequivalent atoms are Nb at (0.144, 0.356, 0.000), Tl at (0.000, 0.000, 0.000) and Cr at (0.137, 0.637, 0.500).

The value obtained for the formation energy is 13.54 kcal/mol of atoms. Its crystal system is tetragonal. As for the density of states at the Fermi level: 9.14 states/eV/cell. As for the relative energy among the computed polymorphs: 0 meV per atom. Its density is 8.99 g/cm3. The total magnetization comes out at 0.79 μB/atom.

(5)
The following is a DFT calculation (PBE) of a relaxed structure of Nb2TlCr2.

The space group is I4/mmm (No. 139) and the conventional cell measures 3.169, 3.169 and 17.573 Å, with angles of 90.00, 90.00 and 90.00 degrees. The inequivalent atoms are Nb at (0.000, 0.000, 0.121), Tl at (0.000, 0.000, 0.500) and Cr at (0.000, 0.500, 0.250).

The value obtained for the formation energy is 13.62 kcal/mol of atoms. Its crystal system is tetragonal. As for the density of states at the Fermi level: 13.62 states/eV/cell. As for the relative energy among the computed polymorphs: 3 meV per atom. Its density is 9.30 g/cm3. The total magnetization comes out at 0.00 μB/atom.

(6)
The following is a DFT calculation (PBE) of a relaxed structure of NbTlCr2.

The space group is Fm-3m (No. 225) and the conventional cell measures 6.415, 6.415 and 6.415 Å, with angles of 90.00, 90.00 and 90.00 degrees. The inequivalent atoms are Nb at (0.000, 0.000, 0.000), Tl at (0.000, 0.000, 0.500) and Cr at (0.250, 0.250, 0.250).

The value obtained for the formation energy is 10.16 kcal/mol of atoms. Its crystal system is cubic. As for the density of states at the Fermi level: 8.27 states/eV/cell. As for the relative energy among the computed polymorphs: 0 meV per atom. Its density is 10.09 g/cm3. The total magnetization comes out at 0.98 μB/atom.

(7)
The following is a DFT calculation (PBE) of a relaxed structure of TmNbCr4.

The space group is F-43m (No. 216) and the conventional cell measures 7.116, 7.116 and 7.116 Å, with angles of 90.00, 90.00 and 90.00 degrees. The inequivalent atoms are Tm at (0.000, 0.000, 0.000), Nb at (0.250, 0.250, 0.250) and Cr at (0.125, 0.125, 0.625).

The value obtained for the formation energy is 2.43 kcal/mol of atoms. Its crystal system is cubic. As for the density of states at the Fermi level: 22.75 states/eV/cell. Its density is 8.66 g/cm3. The total magnetization comes out at 0.00 μB/atom.

(8)
The following is a DFT calculation (PBE) of a relaxed structure of UNbCr.

The space group is Pmmn (No. 59, origin choice 2) and the conventional cell measures 2.876, 4.510 and 8.122 Å, with angles of 90.00, 90.00 and 90.00 degrees. The inequivalent atoms are U at (0.250, 0.250, 0.221), Nb at (0.250, 0.750, 0.414) and Cr at (0.250, 0.750, 0.054).

The value obtained for the formation energy is 13.54 kcal/mol of atoms. Its crystal system is orthorhombic. As for the density of states at the Fermi level: 12.72 states/eV/cell. Its density is 12.07 g/cm3. The total magnetization comes out at 0.15 μB/atom.

(9)
The following is a DFT calculation (PBE) of a relaxed structure of Nb3V7Cr2.

The space group is Cmmm (No. 65) and the conventional cell measures 3.002, 28.367 and 4.376 Å, with angles of 90.00, 90.00 and 90.00 degrees. The inequivalent atoms are Nb at (0.000, 0.000, 0.000), Nb at (0.000, 0.163, 0.000), V at (0.000, 0.077, 0.500), V at (0.000, 0.284, 0.500), V at (0.000, 0.421, 0.000), V at (0.000, 0.500, 0.500) and Cr at (0.000, 0.356, 0.500).

The value obtained for the formation energy is 6.75 kcal/mol of atoms. Its crystal system is orthorhombic. As for the density of states at the Fermi level: 31.43 states/eV/cell. Its density is 6.59 g/cm3. The total magnetization comes out at 0.00 μB/atom.

(10)
The following is a DFT calculation (PBE) of a relaxed structure of Nb2VCr.

The space group is I-42d (No. 122) and the conventional cell measures 6.951, 6.951 and 5.432 Å, with angles of 90.00, 90.00 and 90.00 degrees. The inequivalent atoms are Nb at (0.236, 0.750, 0.125), V at (0.000, 0.000, 0.500) and Cr at (0.000, 0.000, 0.000).

The value obtained for the formation energy is 14.37 kcal/mol of atoms. Its crystal system is tetragonal. As for the density of states at the Fermi level: 20.79 states/eV/cell. As for the relative energy among the computed polymorphs: 585 meV per atom. Its density is 7.31 g/cm3. The total magnetization comes out at 0.00 μB/atom.

(11)
The following is a DFT calculation (PBE) of a relaxed structure of Nb3VCr.

The space group is Pm-3m (No. 221) and the conventional cell measures 4.601, 4.601 and 4.601 Å, with angles of 90.00, 90.00 and 90.00 degrees. The inequivalent atoms are Nb at (0.000, 0.000, 0.500), V at (0.500, 0.500, 0.500) and Cr at (0.000, 0.000, 0.000).

The value obtained for the formation energy is 23.31 kcal/mol of atoms. Its crystal system is cubic. As for the density of states at the Fermi level: 4.89 states/eV/cell. As for the relative energy among the computed polymorphs: 0 meV per atom. Its density is 6.51 g/cm3. The total magnetization comes out at 0.53 μB/atom.

(12)
The following is a DFT calculation (PBE) of a relaxed structure of Nb2V2Cr.

The space group is P4/mbm (No. 127) and the conventional cell measures 7.121, 7.121 and 3.263 Å, with angles of 90.00, 90.00 and 90.00 degrees. The inequivalent atoms are Nb at (0.152, 0.348, 0.000), V at (0.148, 0.648, 0.500) and Cr at (0.000, 0.000, 0.000).

The value obtained for the formation energy is 13.53 kcal/mol of atoms. Its crystal system is tetragonal. As for the density of states at the Fermi level: 11.88 states/eV/cell. As for the relative energy among the computed polymorphs: 278 meV per atom. Its density is 6.82 g/cm3. The total magnetization comes out at 0.53 μB/atom.

(13)
The following is a DFT calculation (PBE) of a relaxed structure of Nb2V3Cr.

The space group is R-3m (No. 166, hexagonal axes) and the conventional cell measures 5.0714, 5.0714 and 12.1036 Å, with angles of 90.00, 90.00 and 120.00 degrees. The inequivalent atoms are Nb at (0.0000, 0.0000, 0.1251), V at (0.0000, 0.5000, 0.0000) and Cr at (0.0000, 0.0000, 0.5000).

The value obtained for the formation energy is -2.30 kcal/mol of atoms. Its crystal system is trigonal. As for the density of states at the Fermi level: 17.57 states/eV/cell. Its density is 7.22 g/cm3. The total magnetization comes out at 0.00 μB/atom.

(14)
The following is a DFT calculation (PBE) of a relaxed structure of NbV3Cr.

The space group is Pm-3m (No. 221) and the conventional cell measures 4.590, 4.590 and 4.590 Å, with angles of 90.00, 90.00 and 90.00 degrees. The inequivalent atoms are Nb at (0.000, 0.000, 0.000), V at (0.000, 0.000, 0.500) and Cr at (0.500, 0.500, 0.500).

The value obtained for the formation energy is 36.06 kcal/mol of atoms. Its crystal system is cubic. As for the density of states at the Fermi level: 7.67 states/eV/cell. As for the relative energy among the computed polymorphs: 1527 meV per atom. Its density is 5.11 g/cm3. The total magnetization comes out at 0.49 μB/atom.

(15)
The following is a DFT calculation (PBE) of a relaxed structure of Nb2VCr.

The space group is Fm-3m (No. 225) and the conventional cell measures 6.274, 6.274 and 6.274 Å, with angles of 90.00, 90.00 and 90.00 degrees. The inequivalent atoms are Nb at (0.250, 0.250, 0.250), V at (0.000, 0.000, 0.000) and Cr at (0.000, 0.000, 0.500).

The value obtained for the formation energy is 1.02 kcal/mol of atoms. Its crystal system is cubic. As for the density of states at the Fermi level: 23.94 states/eV/cell. As for the relative energy among the computed polymorphs: 6 meV per atom. Its density is 7.77 g/cm3. The total magnetization comes out at 0.00 μB/atom.

(16)
The following is a DFT calculation (PBE) of a relaxed structure of Nb2VCr.

The space group is R-3m (No. 166, hexagonal axes) and the conventional cell measures 2.8005, 2.8005 and 29.2974 Å, with angles of 90.00, 90.00 and 120.00 degrees. The inequivalent atoms are Nb at (0.0000, 0.0000, 0.0839), V at (0.0000, 0.0000, 0.5000) and Cr at (0.0000, 0.0000, 0.0000).

The value obtained for the formation energy is 15.09 kcal/mol of atoms. Its crystal system is trigonal. As for the density of states at the Fermi level: 20.65 states/eV/cell. As for the relative energy among the computed polymorphs: 616 meV per atom. Its density is 7.23 g/cm3. The total magnetization comes out at 0.40 μB/atom.

(17)
The following is a DFT calculation (PBE) of a relaxed structure of Nb2VCr.

The space group is P4/mmm (No. 123) and the conventional cell measures 3.131, 3.131 and 6.301 Å, with angles of 90.00, 90.00 and 90.00 degrees. The inequivalent atoms are Nb at (0.000, 0.000, 0.244), V at (0.500, 0.500, 0.500) and Cr at (0.500, 0.500, 0.000).

The value obtained for the formation energy is 0.89 kcal/mol of atoms. Its crystal system is tetragonal. As for the density of states at the Fermi level: 6.40 states/eV/cell. As for the relative energy among the computed polymorphs: 0 meV per atom. Its density is 7.76 g/cm3. The total magnetization comes out at 0.00 μB/atom.

(18)
The following is a DFT calculation (PBE) of a relaxed structure of Nb2V2Cr.

The space group is P4/mbm (No. 127) and the conventional cell measures 6.011, 6.011 and 4.353 Å, with angles of 90.00, 90.00 and 90.00 degrees. The inequivalent atoms are Nb at (0.172, 0.328, 0.000), V at (0.151, 0.651, 0.500) and Cr at (0.000, 0.000, 0.500).

The value obtained for the formation energy is 7.12 kcal/mol of atoms. Its crystal system is tetragonal. As for the density of states at the Fermi level: 15.42 states/eV/cell. As for the relative energy among the computed polymorphs: 0 meV per atom. Its density is 7.17 g/cm3. The total magnetization comes out at 0.00 μB/atom.

(19)
The following is a DFT calculation (PBE) of a relaxed structure of NbV4Cr.

The space group is F-43m (No. 216) and the conventional cell measures 7.004, 7.004 and 7.004 Å, with angles of 90.00, 90.00 and 90.00 degrees. The inequivalent atoms are Nb at (0.000, 0.000, 0.000), V at (0.125, 0.125, 0.625) and Cr at (0.250, 0.250, 0.250).

The value obtained for the formation energy is 2.23 kcal/mol of atoms. Its crystal system is cubic. As for the density of states at the Fermi level: 16.86 states/eV/cell. Its density is 6.74 g/cm3. The total magnetization comes out at 0.00 μB/atom.

(20)
The following is a DFT calculation (PBE) of a relaxed structure of NbV3Cr.

The space group is Cmcm (No. 63) and the conventional cell measures 5.251, 11.622 and 4.820 Å, with angles of 90.00, 90.00 and 90.00 degrees. The inequivalent atoms are Nb at (0.000, 0.079, 0.250), V at (0.000, 0.318, 0.750), V at (0.248, 0.348, 0.250) and Cr at (0.000, 0.500, 0.000).

The value obtained for the formation energy is 5.09 kcal/mol of atoms. Its crystal system is orthorhombic. As for the density of states at the Fermi level: 22.69 states/eV/cell. As for the relative energy among the computed polymorphs: 184 meV per atom. Its density is 6.72 g/cm3. The total magnetization comes out at 0.00 μB/atom.